No. 1
Density functional theory data (PBE-GGA) for FeTc5Ge6 after structural relaxation.

abc: 8.130 5.083 5.073
angles: 59.94 83.92 77.79
Fractional positions:
Ge 0.250 0.584 0.331
Ge 0.750 0.084 0.331
Ge 0.754 0.749 0.000
Ge 0.750 0.416 0.669
Ge 0.250 0.916 0.669
Ge 0.246 0.251 0.000
Tc 0.500 0.163 0.674
Tc 0.500 0.837 0.326
Tc 0.000 0.669 0.661
Tc 0.500 0.500 0.000
Tc 0.000 0.331 0.339
Fe 0.000 0.000 0.000

Summary:
ΔE_f = 61.7 meV per atom
total magnetization = 0.268 μB per atom
DOS(E_F) = 11.7 states/eV/f.u.


No. 2
Density functional theory data (PBE-GGA) for TmFeTcGe3 after structural relaxation.

abc: 5.581 7.759 6.602
angles: 125.99 90.00 90.00
Fractional positions:
Ge 0.000 0.759 0.000
Ge 0.500 0.759 0.000
Ge 0.750 0.768 0.537
Ge 0.000 0.241 0.000
Ge 0.250 0.232 0.463
Ge 0.500 0.241 0.000
Tm 0.250 0.749 0.499
Tm 0.750 0.251 0.501
Fe 0.250 0.027 0.055
Fe 0.750 0.973 0.945
Tc 0.250 0.448 0.896
Tc 0.750 0.552 0.104

Summary:
ΔE_f = -109.2 meV per atom
total magnetization = 0.000 μB per atom
DOS(E_F) = 3.5 states/eV/f.u.


No. 3
Density functional theory data (PBE-GGA) for YFeTcGe2 after structural relaxation.

abc: 4.033 4.033 6.087
angles: 109.35 109.35 90.00
Fractional positions:
Ge 0.619 0.619 0.239
Ge 0.381 0.381 0.761
Fe 0.250 0.750 0.500
Y 0.000 0.000 0.000
Tc 0.750 0.250 0.500

Summary:
ΔE_f = -445.3 meV per atom
total magnetization = 0.488 μB per atom
DOS(E_F) = 4.6 states/eV/f.u.